1.
A plane-wave DFT calculation with PBE-GGA was carried out for a relaxed CaNb3Ir crystal.

## Properties
As for the space-group type: Pm-3m. The formation energy comes out at 2.333 eV/atom. As for the final energy: -29.4 eV per formula unit. The magnetic moment comes out at 0.00 μB per formula unit. The volume is 19.6 A^3/atom. Its relative energy among the computed polymorphs is 1.6278 eV/atom.

The structure in extended XYZ format:
```
5
Lattice="4.6075 0.0000 0.0000 0.0000 4.6075 0.0000 0.0000 0.0000 4.6075" Properties=species:S:1:pos:R:3 pbc="T T T"
Ca 0.0000 0.0000 0.0000
Nb 0.0000 0.0000 2.3038
Nb 0.0000 2.3038 0.0000
Nb 2.3038 0.0000 0.0000
Ir 2.3038 2.3038 2.3038
```

---

2.
A plane-wave DFT calculation with PBE-GGA was carried out for a relaxed Ca2Nb2Ir crystal.

## Properties
As for the space-group type: I4/mmm. The formation energy comes out at 0.427 eV/atom. As for the final energy: -30.9 eV per formula unit. The magnetic moment comes out at 0.00 μB per formula unit. The volume is 25.2 A^3/atom. Its relative energy among the computed polymorphs is 0.0000 eV/atom.

The structure in extended XYZ format:
```
5
Lattice="-1.7970 1.7970 9.7442 1.7970 -1.7970 9.7442 1.7970 1.7970 -9.7442" Properties=species:S:1:pos:R:3 pbc="T T T"
Ca 0.0000 0.0000 1.6495
Ca 0.0000 0.0000 17.8389
Nb 1.7970 0.0000 4.8721
Nb 0.0000 1.7970 4.8721
Ir 0.0000 0.0000 9.7442
```

---

3.
A plane-wave DFT calculation with PBE-GGA was carried out for a relaxed CaNb2Ir crystal.

## Properties
As for the space-group type: I-42d. The formation energy comes out at 0.327 eV/atom. As for the final energy: -29.7 eV per formula unit. The magnetic moment comes out at 0.00 μB per formula unit. The volume is 22.2 A^3/atom. Its relative energy among the computed polymorphs is 0.0572 eV/atom.

The structure in extended XYZ format:
```
8
Lattice="-3.9394 3.9394 2.8562 3.9394 -3.9394 2.8562 3.9394 3.9394 -2.8562" Properties=species:S:1:pos:R:3 pbc="T T T"
Ca 0.0000 0.0000 0.0000
Ca 0.0000 3.9394 1.4281
Nb 1.9697 -1.4569 2.1421
Nb 2.4825 1.9697 0.7140
Nb 1.9697 5.3963 -0.7140
Nb 1.4569 1.9697 3.5702
Ir 3.9394 0.0000 1.4281
Ir 0.0000 0.0000 2.8562
```

---

4.
A plane-wave DFT calculation with PBE-GGA was carried out for a relaxed Ca2NbIr crystal.

## Properties
As for the space-group type: I-42d. The formation energy comes out at 0.438 eV/atom. As for the final energy: -21.2 eV per formula unit. The magnetic moment comes out at 1.80 μB per formula unit. The volume is 32.6 A^3/atom. Its relative energy among the computed polymorphs is 0.0000 eV/atom.

The structure in extended XYZ format:
```
8
Lattice="-5.1519 5.1519 2.4590 5.1519 -5.1519 2.4590 5.1519 5.1519 -2.4590" Properties=species:S:1:pos:R:3 pbc="T T T"
Ca -1.0812 2.5759 0.6147
Ca 2.5759 4.0706 1.8442
Ca 1.0812 7.7278 0.6147
Ca -2.5759 6.2331 1.8442
Nb 5.1519 0.0000 1.2295
Nb 0.0000 0.0000 2.4590
Ir 0.0000 0.0000 0.0000
Ir 0.0000 5.1519 1.2295
```

---

5.
A plane-wave DFT calculation with PBE-GGA was carried out for a relaxed Ca3NbIr crystal.

## Properties
As for the space-group type: Pm-3m. The formation energy comes out at 1.515 eV/atom. As for the final energy: -17.4 eV per formula unit. The magnetic moment comes out at 1.44 μB per formula unit. The volume is 29.2 A^3/atom. Its relative energy among the computed polymorphs is 0.9378 eV/atom.

The structure in extended XYZ format:
```
5
Lattice="5.2672 0.0000 0.0000 0.0000 5.2672 0.0000 0.0000 0.0000 5.2672" Properties=species:S:1:pos:R:3 pbc="T T T"
Ca 0.0000 0.0000 2.6336
Ca 0.0000 2.6336 0.0000
Ca 2.6336 0.0000 0.0000
Nb 0.0000 0.0000 0.0000
Ir 2.6336 2.6336 2.6336
```

---

6.
A plane-wave DFT calculation with PBE-GGA was carried out for a relaxed CaNb3Ir crystal.

## Properties
As for the space-group type: Pm-3m. The formation energy comes out at 0.706 eV/atom. As for the final energy: -37.5 eV per formula unit. The magnetic moment comes out at 0.00 μB per formula unit. The volume is 24.6 A^3/atom. Its relative energy among the computed polymorphs is 0.0000 eV/atom.

The structure in extended XYZ format:
```
5
Lattice="4.9714 0.0000 0.0000 0.0000 4.9714 0.0000 0.0000 0.0000 4.9714" Properties=species:S:1:pos:R:3 pbc="T T T"
Ca 0.0000 0.0000 0.0000
Nb 0.0000 2.4857 2.4857
Nb 2.4857 0.0000 2.4857
Nb 2.4857 2.4857 0.0000
Ir 2.4857 2.4857 2.4857
```

---

7.
A plane-wave DFT calculation with PBE-GGA was carried out for a relaxed Ca3NbIr crystal.

## Properties
As for the space-group type: Pm-3m. The formation energy comes out at 0.577 eV/atom. As for the final energy: -22.1 eV per formula unit. The magnetic moment comes out at 4.61 μB per formula unit. The volume is 32.5 A^3/atom. Its relative energy among the computed polymorphs is 0.0000 eV/atom.

The structure in extended XYZ format:
```
5
Lattice="5.4551 0.0000 0.0000 0.0000 5.4551 0.0000 0.0000 0.0000 5.4551" Properties=species:S:1:pos:R:3 pbc="T T T"
Ca 0.0000 0.0000 2.7276
Ca 0.0000 2.7276 0.0000
Ca 2.7276 0.0000 0.0000
Nb 2.7276 2.7276 2.7276
Ir 0.0000 0.0000 0.0000
```

---

8.
A plane-wave DFT calculation with PBE-GGA was carried out for a relaxed Ca2NbIr crystal.

## Properties
As for the space-group type: Fm-3m. The formation energy comes out at 0.535 eV/atom. As for the final energy: -20.8 eV per formula unit. The magnetic moment comes out at 3.99 μB per formula unit. The volume is 22.7 A^3/atom. Its relative energy among the computed polymorphs is 0.0978 eV/atom.

The structure in extended XYZ format:
```
4
Lattice="0.0000 3.5695 3.5695 3.5695 0.0000 3.5695 3.5695 3.5695 0.0000" Properties=species:S:1:pos:R:3 pbc="T T T"
Ca 1.7848 1.7848 1.7848
Ca 5.3543 5.3543 5.3543
Nb 0.0000 0.0000 0.0000
Ir 3.5695 3.5695 3.5695
```